Record 1
VASP calculation (meta-GGA SCAN) on a PBEsol-optimized structure of K2AsP.

## Properties
For the total energy, the calculation gives -0.451 hartree per atom. The total magnetization comes out at 0.0 μB/cell.

a b c (Å): 3.7680 5.3144 6.2902
angles (deg): 114.99 107.43 90.00
Last column: nearest neighbours and their distance in Å.
Fractional positions:
As 0.1905 0.6905 0.3810  2 P 2.40
P 0.5530 0.5530 0.1060  2 As 2.40
K 0.9847 0.9847 0.9694  4 P 3.34, 4 As 3.46-3.68, 4 K 3.51-3.62
K 0.7719 0.2719 0.5437  4 As 3.37, 6 K 3.51-3.77, 4 P 3.55-3.56


Record 2
VASP calculation (meta-GGA SCAN) on a PBEsol-optimized structure of KAsP2.

## Properties
For the total energy, the calculation gives -0.426 hartree per atom. The total magnetization comes out at 0.0 μB/cell.

a b c (Å): 4.8141 4.8141 4.8141
angles (deg): 60.00 60.00 60.00
Last column: nearest neighbours and their distance in Å.
Fractional positions:
K 0.2500 0.2500 0.2500  4 P 2.95, 4 As 2.95
P 0.0000 0.0000 0.0000  4 P 2.95, 4 K 2.95
P 0.7500 0.7500 0.7500  4 As 2.95, 4 P 2.95
As 0.5000 0.5000 0.5000  4 K 2.95, 4 P 2.95


Record 3
VASP calculation (meta-GGA SCAN) on a PBEsol-optimized structure of K2AsP.

## Properties
For the total energy, the calculation gives -0.452 hartree per atom. The total magnetization comes out at 0.0 μB/cell.

a b c (Å): 3.9971 5.0760 6.2332
angles (deg): 114.03 90.00 90.00
Last column: nearest neighbours and their distance in Å.
Fractional positions:
K 0.0000 0.1081 0.2162  4 As 3.36, 3 P 3.41, 2 K 3.75
K 0.5000 0.3871 0.7742  4 P 3.35, 3 As 3.38-3.46, 2 K 3.75
As 0.5000 0.6907 0.3815  2 P 2.41
P 0.0000 0.8085 0.6170  2 As 2.41


Record 4
VASP calculation (meta-GGA SCAN) on a PBEsol-optimized structure of K2AsP.

## Properties
For the total energy, the calculation gives -0.438 hartree per atom. The total magnetization comes out at 0.0 μB/cell.

a b c (Å): 4.2372 4.2372 5.8670
angles (deg): 111.17 111.17 90.00
Last column: nearest neighbours and their distance in Å.
Fractional positions:
P 0.5000 0.5000 0.0000  4 As 3.00, 8 K 3.29
K 0.2500 0.7500 0.5000  4 K 3.00, 4 P 3.29, 4 As 3.29
As 0.0000 0.0000 0.0000  4 P 3.00, 8 K 3.29
K 0.7500 0.2500 0.5000  4 K 3.00, 4 P 3.29, 4 As 3.29